[1]
# LaMg3 GGA-PBE optimized geometry
data_LaMg3
_cell_length_a 5.4750
_cell_length_b 5.4750
_cell_length_c 9.4670
_cell_angle_alpha 90.00
_cell_angle_beta 90.00
_cell_angle_gamma 120.00
_symmetry_space_group_name_H-M 'P 1'
_symmetry_Int_Tables_number 1
loop_
_symmetry_equiv_pos_as_xyz
'x,y,z'
loop_
_atom_site_label
_atom_site_fract_x
_atom_site_fract_y
_atom_site_fract_z
La1 0.6667 0.3333 0.2500
La2 0.3333 0.6667 0.7500
Mg1 0.6667 0.3333 0.5949
Mg2 0.3333 0.6667 0.0949
Mg3 0.3333 0.6667 0.4051
Mg4 0.6667 0.3333 0.9051
Mg5 0.0000 0.0000 0.2500
Mg6 0.0000 0.0000 0.7500
# - total DFT energy (no corrections) (eV/atom) = -2.234

[2]
# LaMg2Mn GGA-PBE optimized geometry
data_LaMg2Mn
_cell_length_a 3.4265
_cell_length_b 3.4270
_cell_length_c 8.2343
_cell_angle_alpha 90.00
_cell_angle_beta 90.00
_cell_angle_gamma 90.00
_symmetry_space_group_name_H-M 'P 1'
_symmetry_Int_Tables_number 1
loop_
_symmetry_equiv_pos_as_xyz
'x,y,z'
loop_
_atom_site_label
_atom_site_fract_x
_atom_site_fract_y
_atom_site_fract_z
La1 0.5000 0.5000 0.7128
Mg1 0.0000 0.0000 0.0405
Mg2 0.5000 0.5000 0.2809
Mn1 0.0000 0.0000 0.4657
# - total DFT energy (no corrections) (eV/atom) = -4.198

[3]
# LaMg2Mn GGA-PBE optimized geometry
data_LaMg2Mn
_cell_length_a 10.7267
_cell_length_b 10.7267
_cell_length_c 10.7267
_cell_angle_alpha 17.42
_cell_angle_beta 17.42
_cell_angle_gamma 17.42
_symmetry_space_group_name_H-M 'P 1'
_symmetry_Int_Tables_number 1
loop_
_symmetry_equiv_pos_as_xyz
'x,y,z'
loop_
_atom_site_label
_atom_site_fract_x
_atom_site_fract_y
_atom_site_fract_z
La1 0.7500 0.7500 0.7500
Mg1 0.9879 0.9879 0.9879
Mg2 0.5121 0.5121 0.5121
Mn1 0.2500 0.2500 0.2500
# - total DFT energy (no corrections) (eV/atom) = -4.033